Pr2CuS3 | PBE | relaxed

Cell lengths 3.872, 4.317, 15.889 Å; angles 90.00, 90.00, 90.00 degrees
Space group Immm (No. 71)
Asymmetric unit:
Pr 0.000 0.000 0.140 (multiplicity 4)
Cu 0.000 0.000 0.500 (multiplicity 2)
S 0.000 0.000 0.324 (multiplicity 4)
S 0.000 0.500 0.500 (multiplicity 2)

Output
- Electronic total energy: -0.434 Ry per atom
- Density of states at the Fermi level: 1.3 states/eV/f.u.

Pr6CuS5 | PBE | relaxed

Cell lengths 7.147, 12.375, 7.133 Å; angles 90.00, 109.52, 90.00 degrees
Space group C2/m (No. 12)
Asymmetric unit:
Pr 0.247 0.000 0.252 (multiplicity 4)
Pr 0.248 0.169 0.748 (multiplicity 8)
Cu 0.000 0.500 0.000 (multiplicity 2)
S 0.000 0.000 0.500 (multiplicity 2)
S 0.000 0.166 0.000 (multiplicity 4)
S 0.000 0.333 0.500 (multiplicity 4)

Output
- Electronic total energy: -0.453 Ry per atom
- Density of states at the Fermi level: 5.3 states/eV/f.u.

PrCuS2 | PBE | relaxed

Cell lengths 3.673, 3.673, 11.814 Å; angles 90.00, 90.00, 90.00 degrees
Space group I-4m2 (No. 119)
Asymmetric unit:
Pr 0.000 0.000 0.000 (multiplicity 2)
Cu 0.000 0.500 0.750 (multiplicity 2)
S 0.000 0.000 0.369 (multiplicity 4)

Output
- Electronic total energy: -0.404 Ry per atom
- Density of states at the Fermi level: 0.8 states/eV/f.u.

Pr3Cu5S12 | PBE | relaxed

Cell lengths 14.956, 14.956, 14.956 Å; angles 90.00, 90.00, 90.00 degrees
Space group Ia-3d (No. 230)
Asymmetric unit:
Pr 0.000 0.250 0.125 (multiplicity 24)
Cu 0.000 0.000 0.000 (multiplicity 16)
Cu 0.000 0.250 0.375 (multiplicity 24)
S 0.030 0.054 0.647 (multiplicity 96)

Output
- Electronic total energy: -0.359 Ry per atom
- Density of states at the Fermi level: 15.3 states/eV/f.u.